! LiMg2S2 PBE optimized geometry; values from VASP
&SYSTEM
  ibrav = 0, nat = 10, ntyp = 3
/
ATOMIC_SPECIES
S 32.06 S.upf
Mg 24.30 Mg.upf
Li 6.94 Li.upf
CELL_PARAMETERS angstrom
-3.175 -4.925 4.232
-0.871 -4.345 -5.710
3.048 -1.430 0.623
ATOMIC_POSITIONS crystal
S 0.669 0.831 0.500
Mg 0.861 0.639 0.000
S 0.331 0.169 0.500
Mg 0.639 0.139 0.000
Li 0.500 0.500 0.000
S 0.169 0.669 0.500
Mg 0.139 0.361 0.000
Li 0.000 0.000 0.000
S 0.831 0.331 0.500
Mg 0.361 0.861 0.000
! - ΔE_f (raw) (kJ/mol of atoms) = -68.0
! - ρ (kg/m³) = 2222
! - total DFT energy (no corrections) (eV/cell) = -33.76
! - E above lowest polymorph (meV/atom) = 229
! - spin magnetization (μB/atom) = 0.000

! InAs3Cl PBE optimized geometry; values from VASP
&SYSTEM
  ibrav = 0, nat = 5, ntyp = 3
/
ATOMIC_SPECIES
As 74.92 As.upf
Cl 35.45 Cl.upf
In 114.82 In.upf
CELL_PARAMETERS angstrom
-4.246 3.088 -0.572
-2.034 -3.436 -3.456
-2.393 -2.559 3.952
ATOMIC_POSITIONS crystal
As 0.000 0.500 0.000
As 0.500 0.000 0.000
As 0.000 0.000 0.500
Cl 0.500 0.500 0.500
In 0.000 0.000 0.000
! - ΔE_f (raw) (kJ/mol of atoms) = 89.7
! - ρ (kg/m³) = 4228
! - total DFT energy (no corrections) (eV/cell) = -13.89
! - E above lowest polymorph (meV/atom) = 42
! - spin magnetization (μB/atom) = 0.000

! ZnRe2Se PBE optimized geometry; values from VASP
&SYSTEM
  ibrav = 0, nat = 4, ntyp = 3
/
ATOMIC_SPECIES
Re 186.21 Re.upf
Se 78.96 Se.upf
Zn 65.41 Zn.upf
CELL_PARAMETERS angstrom
2.759 0.020 0.000
-1.208 2.480 0.000
0.000 0.000 9.812
ATOMIC_POSITIONS crystal
Re 0.500 0.500 0.234
Re 0.000 0.000 0.015
Se 0.000 0.000 0.470
Zn 0.500 0.500 0.780
! - ΔE_f (raw) (kJ/mol of atoms) = 44.8
! - ρ (kg/m³) = 12734
! - total DFT energy (no corrections) (eV/cell) = -27.80
! - E above lowest polymorph (meV/atom) = 267
! - spin magnetization (μB/atom) = 0.000

! TiCr2As PBE optimized geometry; values from VASP
&SYSTEM
  ibrav = 0, nat = 8, ntyp = 3
/
ATOMIC_SPECIES
As 74.92 As.upf
Cr 52.00 Cr.upf
Ti 47.87 Ti.upf
CELL_PARAMETERS angstrom
-1.124 3.798 -5.898
-6.862 0.648 1.725
-3.465 4.381 -0.798
ATOMIC_POSITIONS crystal
As 0.750 0.250 0.500
Cr 0.375 0.328 0.750
As 0.000 0.000 0.000
Cr 0.875 0.922 0.750
Ti 0.500 0.500 0.000
Ti 0.250 0.750 0.500
Cr 0.672 0.125 0.250
Cr 0.078 0.625 0.250
! - ρ (kg/m³) = 5811
! - total DFT energy (no corrections) (eV/cell) = -59.99
! - spin magnetization (μB/atom) = 1.054

! GaPAu2 PBE optimized geometry; values from VASP
&SYSTEM
  ibrav = 0, nat = 4, ntyp = 3
/
ATOMIC_SPECIES
Au 196.97 Au.upf
P 30.97 P.upf
Ga 69.72 Ga.upf
CELL_PARAMETERS angstrom
0.000 3.277 3.277
3.277 0.000 3.277
3.277 3.277 0.000
ATOMIC_POSITIONS crystal
Au 0.250 0.250 0.250
P 0.000 0.000 0.000
Ga 0.500 0.500 0.500
Au 0.750 0.750 0.750
! - ρ (kg/m³) = 11670
! - total DFT energy (no corrections) (eV/cell) = -14.07
! - E above lowest polymorph (meV/atom) = 235
! - spin magnetization (μB/atom) = 0.000

! LiGaOs3 PBE optimized geometry; values from VASP
&SYSTEM
  ibrav = 0, nat = 5, ntyp = 3
/
ATOMIC_SPECIES
Ga 69.72 Ga.upf
Os 190.23 Os.upf
Li 6.94 Li.upf
CELL_PARAMETERS angstrom
4.128 0.000 0.000
0.000 4.128 0.000
0.000 0.000 4.128
ATOMIC_POSITIONS crystal
Ga 0.500 0.500 0.500
Os 0.500 0.000 0.000
Li 0.000 0.000 0.000
Os 0.000 0.500 0.000
Os 0.000 0.000 0.500
! - ρ (kg/m³) = 15286
! - total DFT energy (no corrections) (eV/cell) = -31.74
! - E above lowest polymorph (meV/atom) = 0
! - spin magnetization (μB/atom) = 0.280

Which value of total DFT energy (no corrections) does entry 3 give? -27.80 eV/cell

Look up the ρ of the second one. 4228 kg/m³